(1)
A plane-wave DFT calculation with PBE-GGA was carried out for an optimized crystal structure of AgSeCl2.

The value obtained for the energy above the most stable polymorph in this dataset is 144.1 meV/atom. Its density of states at the Fermi level is 6.5 states/eV per cell. The calculation puts the calculated total energy at -20.0 eV/cell. The value obtained for the uncorrected formation energy is 11 meV per atom. The volume is 27.021 Å³ per atom.

It has space group Cmm2 (No. 35), with a = 3.576 Å, b = 6.931 Å, c = 8.720 Å, α = 90.00°, β = 90.00° and γ = 90.00°. Symmetry generates all atoms from Ag at (0.000, 0.000, 0.000), Se at (0.000, 0.500, 0.206), Cl at (0.000, 0.000, 0.431) and Cl at (0.000, 0.500, 0.810).

***

(2)
A plane-wave DFT calculation with PBE-GGA was carried out for an optimized crystal structure of AgSeCl4.

The value obtained for the energy above the most stable polymorph in this dataset is 1061.1 meV/atom. Its density of states at the Fermi level is 30.4 states/eV per cell. The calculation puts the calculated total energy at -36.5 eV/cell. The value obtained for the uncorrected formation energy is 766 meV per atom. The volume is 25.352 Å³ per atom.

It has space group F-43m (No. 216), with a = 8.474 Å, b = 8.474 Å, c = 8.474 Å, α = 90.00°, β = 90.00° and γ = 90.00°. Symmetry generates all atoms from Ag at (0.000, 0.000, 0.000), Se at (0.250, 0.250, 0.250) and Cl at (0.125, 0.125, 0.625).

***

(3)
A plane-wave DFT calculation with PBE-GGA was carried out for an optimized crystal structure of Ag2SeCl.

The value obtained for the energy above the most stable polymorph in this dataset is 95.0 meV/atom. Its density of states at the Fermi level is 3.3 states/eV per cell. The calculation puts the calculated total energy at -23.2 eV/cell. The value obtained for the uncorrected formation energy is -142 meV per atom. The volume is 22.096 Å³ per atom.

It has space group Imm2 (No. 44), with a = 3.492 Å, b = 3.734 Å, c = 13.557 Å, α = 90.00°, β = 90.00° and γ = 90.00°. Symmetry generates all atoms from Ag at (0.000, 0.000, 0.000), Ag at (0.000, 0.500, 0.225), Se at (0.000, 0.000, 0.566) and Cl at (0.000, 0.500, 0.817).

***

(4)
A plane-wave DFT calculation with PBE-GGA was carried out for an optimized crystal structure of AgSeCl.

The value obtained for the energy above the most stable polymorph in this dataset is 692.3 meV/atom. Its density of states at the Fermi level is 17.3 states/eV per cell. The calculation puts the calculated total energy at -27.4 eV/cell. The value obtained for the uncorrected formation energy is 440 meV per atom. The volume is 24.637 Å³ per atom.

It has space group F-43m (No. 216), with a = 6.662 Å, b = 6.662 Å, c = 6.662 Å, α = 90.00°, β = 90.00° and γ = 90.00°. Symmetry generates all atoms from Ag at (0.000, 0.000, 0.000), Se at (0.250, 0.250, 0.250) and Cl at (0.000, 0.000, 0.500).